DFT (PBE) results for an optimized crystal structure of TaSi3Au.

Mass density   6.6 g cm⁻³
D(E_F)   2.8 states/eV/f.u.
Formation energy (no corrections)   0.851 eV/atom
Energy above the most stable polymorph in this dataset   0 meV per atom
VASP energy   -0.399 Ry/atom

Cell and atoms, written as extended XYZ:
```
5
Lattice="-0.736 4.478 -1.811 -1.174 -1.943 -4.327 -4.685 -0.216 1.368" Properties=species:S:1:pos:R:3 pbc="T T T"
Si -2.343 -0.108 0.684
Si -0.368 2.239 -0.906
Si -0.587 -0.971 -2.163
Au -3.297 1.159 -2.385
Ta 0.000 0.000 0.000
```